[1]
An optimized crystal structure of RbSiGe2, computed with PBE.

Lattice parameters (Å, degrees): 5.355 5.355 9.286 73.24 73.24 90.00
Atoms (fractional coordinates):
Ge: 0.375 0.125 0.250
Ge: 0.375 0.625 0.250
Ge: 0.375 0.625 0.750
Ge: 0.875 0.625 0.750
Si: 0.500 0.500 0.000
Si: 0.250 0.750 0.500
Rb: 0.000 0.000 0.000
Rb: 0.750 0.250 0.500

Summary:
Its space group is No. 141. Its density of states at the Fermi level is 1.54 states/eV/f.u. The uncorrected formation energy comes out at 0.8 eV/f.u.


[2]
An optimized crystal structure of RbSiGe3, computed with PBE.

Lattice parameters (Å, degrees): 5.058 5.058 5.058 90.00 90.00 90.00
Atoms (fractional coordinates):
Ge: 0.000 0.500 0.000
Ge: 0.000 0.000 0.500
Ge: 0.500 0.000 0.000
Si: 0.000 0.000 0.000
Rb: 0.500 0.500 0.500

Summary:
The energy above the most stable polymorph in this dataset is 0.372 eV per atom. Its space group is No. 221. Its density of states at the Fermi level is 3.23 states/eV/f.u. The uncorrected formation energy comes out at 2.3 eV/f.u.


[3]
An optimized crystal structure of RbSiGe, computed with PBE.

Lattice parameters (Å, degrees): 4.752 5.218 8.535 107.80 90.00 90.00
Atoms (fractional coordinates):
Rb: 0.000 0.159 0.317
Rb: 0.000 0.841 0.683
Si: 0.500 0.775 0.000
Si: 0.500 0.225 0.000
Ge: 0.500 0.620 0.240
Ge: 0.500 0.380 0.760

Summary:
The energy above the most stable polymorph in this dataset is 0.125 eV per atom. Its space group is No. 65. Its density of states at the Fermi level is 0.87 states/eV/f.u. The uncorrected formation energy comes out at 0.3 eV/f.u.


[4]
An optimized crystal structure of RbSi2Ge, computed with PBE.

Lattice parameters (Å, degrees): 5.099 5.099 9.409 74.28 74.28 90.00
Atoms (fractional coordinates):
Ge: 0.500 0.500 0.000
Ge: 0.250 0.750 0.500
Si: 0.375 0.125 0.250
Si: 0.375 0.625 0.250
Si: 0.375 0.625 0.750
Si: 0.875 0.625 0.750
Rb: 0.000 0.000 0.000
Rb: 0.750 0.250 0.500

Summary:
Its space group is No. 141. Its density of states at the Fermi level is 1.73 states/eV/f.u. The uncorrected formation energy comes out at 1.1 eV/f.u.


[5]
An optimized crystal structure of RbSi2Ge2, computed with PBE.

Lattice parameters (Å, degrees): 8.590 8.590 3.525 90.00 90.00 90.00
Atoms (fractional coordinates):
Ge: 0.122 0.622 0.500
Ge: 0.622 0.878 0.500
Ge: 0.878 0.378 0.500
Ge: 0.378 0.122 0.500
Si: 0.395 0.895 0.000
Si: 0.895 0.605 0.000
Si: 0.605 0.105 0.000
Si: 0.105 0.395 0.000
Rb: 0.000 0.000 0.000
Rb: 0.500 0.500 0.000

Summary:
The energy above the most stable polymorph in this dataset is 0.161 eV per atom. Its space group is No. 127. Its density of states at the Fermi level is 1.88 states/eV/f.u. The uncorrected formation energy comes out at 1.1 eV/f.u.


[6]
An optimized crystal structure of Rb3SiGe, computed with PBE.

Lattice parameters (Å, degrees): 6.752 6.752 6.752 90.00 90.00 90.00
Last column: magnetic moment on the atom in μB.
Atoms (fractional coordinates):
Ge: 0.500 0.500 0.500  0.82
Si: 0.000 0.000 0.000  0.52
Rb: 0.000 0.500 0.000  0.04
Rb: 0.000 0.000 0.500  0.05
Rb: 0.500 0.000 0.000  0.03

Summary:
The energy above the most stable polymorph in this dataset is 0.554 eV per atom. Its space group is No. 221. Its density of states at the Fermi level is 4.67 states/eV/f.u. The uncorrected formation energy comes out at 3.5 eV/f.u.


[7]
An optimized crystal structure of Rb3SiGe, computed with PBE.

Lattice parameters (Å, degrees): 9.007 9.007 8.418 114.07 119.84 98.84
Atoms (fractional coordinates):
Rb: 0.805 0.038 0.243
Rb: 0.205 0.438 0.243
Rb: 0.795 0.562 0.757
Rb: 0.707 0.460 0.167
Rb: 0.195 0.962 0.757
Rb: 0.293 0.540 0.833
Si: 0.626 0.085 0.711
Si: 0.374 0.915 0.289
Ge: 0.629 0.832 0.461
Ge: 0.371 0.168 0.539

Summary:
The energy above the most stable polymorph in this dataset is 0.000 eV per atom. Its space group is No. 12. Its density of states at the Fermi level is 4.30 states/eV/f.u. The uncorrected formation energy comes out at 0.7 eV/f.u.


[8]
An optimized crystal structure of RbSiGe2, computed with PBE.

Lattice parameters (Å, degrees): 4.285 4.285 7.242 72.79 72.79 60.00
Atoms (fractional coordinates):
Ge: 0.292 0.292 0.124
Ge: 0.708 0.708 0.876
Si: 0.000 0.000 0.000
Rb: 0.500 0.500 0.500

Summary:
Its space group is No. 166. Its density of states at the Fermi level is 1.67 states/eV/f.u. The uncorrected formation energy comes out at 0.5 eV/f.u.


[9]
An optimized crystal structure of RbSiGe3, computed with PBE.

Lattice parameters (Å, degrees): 5.579 5.579 5.579 90.00 90.00 90.00
Atoms (fractional coordinates):
Ge: 0.000 0.500 0.000
Ge: 0.000 0.000 0.500
Ge: 0.500 0.000 0.000
Si: 0.500 0.500 0.500
Rb: 0.000 0.000 0.000

Summary:
The energy above the most stable polymorph in this dataset is 1.936 eV per atom. Its space group is No. 221. Its density of states at the Fermi level is 8.87 states/eV/f.u. The uncorrected formation energy comes out at 10.1 eV/f.u.


[10]
An optimized crystal structure of Rb2SiGe2, computed with PBE.

Lattice parameters (Å, degrees): 6.846 6.846 5.959 90.00 90.00 90.00
Atoms (fractional coordinates):
Ge: 0.367 0.867 0.000
Ge: 0.867 0.633 0.000
Ge: 0.633 0.133 0.000
Ge: 0.133 0.367 0.000
Si: 0.000 0.000 0.000
Si: 0.500 0.500 0.000
Rb: 0.183 0.683 0.500
Rb: 0.683 0.817 0.500
Rb: 0.817 0.317 0.500
Rb: 0.317 0.183 0.500

Summary:
Its space group is No. 127. Its density of states at the Fermi level is 0.83 states/eV/f.u. The uncorrected formation energy comes out at 0.8 eV/f.u.


[11]
An optimized crystal structure of Rb4Si2Ge, computed with PBE.

Lattice parameters (Å, degrees): 7.224 7.224 9.590 67.87 67.87 90.00
Last column: magnetic moment on the atom in μB.
Atoms (fractional coordinates):
Ge: 0.000 0.000 0.000  0.65
Si: 0.566 0.566 0.867  0.02
Si: 0.434 0.434 0.133  0.02
Rb: 0.784 0.784 0.431  0.00
Rb: 0.216 0.216 0.569  0.00
Rb: 0.000 0.500 0.000  0.03
Rb: 0.500 0.000 0.000  0.03

Summary:
Its space group is No. 139. Its density of states at the Fermi level is 0.55 states/eV/f.u. The uncorrected formation energy comes out at 2.4 eV/f.u.


[12]
An optimized crystal structure of RbSi2GeTe8, computed with PBE.

Lattice parameters (Å, degrees): 6.221 6.221 14.537 77.65 77.65 60.00
Atoms (fractional coordinates):
Rb: 0.500 0.500 0.500
Si: 0.255 0.255 0.235
Si: 0.745 0.745 0.765
Ge: 0.000 0.000 0.000
Te: 0.198 0.198 0.406
Te: 0.668 0.283 0.162
Te: 0.802 0.802 0.594
Te: 0.887 0.668 0.162
Te: 0.113 0.332 0.838
Te: 0.283 0.887 0.162
Te: 0.717 0.113 0.838
Te: 0.332 0.717 0.838

Summary:
Its space group is No. 148. Its density of states at the Fermi level is 5.12 states/eV/f.u. The uncorrected formation energy comes out at -0.4 eV/f.u.


[13]
An optimized crystal structure of Rb2TiSiGe, computed with PBE.

Lattice parameters (Å, degrees): 6.558 4.845 6.558 90.00 90.00 90.00
Last column: magnetic moment on the atom in μB.
Atoms (fractional coordinates):
Ge: 0.500 0.500 0.500  0.33
Si: 0.000 0.000 0.000  -0.03
Rb: 0.000 0.000 0.500  0.00
Rb: 0.500 0.000 0.000  0.01
Ti: 0.000 0.500 0.000  0.32

Summary:
Its space group is No. 123. Its density of states at the Fermi level is 8.85 states/eV/f.u. The uncorrected formation energy comes out at 4.5 eV/f.u.


[14]
An optimized crystal structure of RbSmGeTe3, computed with PBE.

Lattice parameters (Å, degrees): 4.361 9.518 12.108 110.68 90.00 90.00
Atoms (fractional coordinates):
Rb: 0.250 0.236 0.283
Rb: 0.750 0.764 0.717
Sm: 0.250 0.636 0.159
Sm: 0.750 0.364 0.841
Ge: 0.250 0.118 0.555
Ge: 0.750 0.882 0.445
Te: 0.750 0.894 0.226
Te: 0.250 0.106 0.774
Te: 0.250 0.678 0.431
Te: 0.750 0.322 0.569
Te: 0.750 0.387 0.105
Te: 0.250 0.613 0.895

Summary:
Its space group is No. 11. The uncorrected formation energy comes out at -5.7 eV/f.u.


[15]
An optimized crystal structure of RbSn2Ge2, computed with PBE.

Lattice parameters (Å, degrees): 4.932 4.932 7.086 69.63 69.63 90.00
Atoms (fractional coordinates):
Ge: 0.378 0.378 0.245
Ge: 0.622 0.622 0.755
Sn: 0.750 0.250 0.500
Sn: 0.250 0.750 0.500
Rb: 0.000 0.000 0.000

Summary:
The energy above the most stable polymorph in this dataset is 0.000 eV per atom. Its space group is No. 139. The energy of formation from the pure elements is -0.30 eV/f.u. Its density of states at the Fermi level is 0.90 states/eV/f.u.


[16]
An optimized crystal structure of RbSn2Ge2, computed with PBE.

Lattice parameters (Å, degrees): 5.184 5.184 6.585 66.82 66.82 90.00
Atoms (fractional coordinates):
Ge: 0.750 0.250 0.500
Ge: 0.250 0.750 0.500
Sn: 0.362 0.362 0.276
Sn: 0.638 0.638 0.724
Rb: 0.000 0.000 0.000

Summary:
The energy above the most stable polymorph in this dataset is 0.014 eV per atom. Its space group is No. 139. The energy of formation from the pure elements is -0.23 eV/f.u. Its density of states at the Fermi level is 2.37 states/eV/f.u.


[17]
An optimized crystal structure of RbSnGe2, computed with PBE.

Lattice parameters (Å, degrees): 4.794 4.794 7.070 70.18 70.18 60.00
Atoms (fractional coordinates):
Ge: 0.293 0.293 0.121
Ge: 0.707 0.707 0.879
Sn: 0.000 0.000 0.000
Rb: 0.500 0.500 0.500

Summary:
Its space group is No. 166. The energy of formation from the pure elements is 0.40 eV/f.u. Its density of states at the Fermi level is 3.14 states/eV/f.u.


[18]
An optimized crystal structure of RbSnGe, computed with PBE.

Lattice parameters (Å, degrees): 3.725 3.725 7.289 104.80 104.80 90.00
Atoms (fractional coordinates):
Ge: 0.303 0.303 0.605
Sn: 0.703 0.703 0.407
Rb: 0.994 0.994 0.988

Summary:
The energy above the most stable polymorph in this dataset is 0.119 eV per atom. Its space group is No. 107. The energy of formation from the pure elements is -0.03 eV/f.u. Its density of states at the Fermi level is 0.90 states/eV/f.u.


[19]
An optimized crystal structure of RbSnGe2, computed with PBE.

Lattice parameters (Å, degrees): 5.492 5.492 10.346 74.61 74.61 90.00
Atoms (fractional coordinates):
Ge: 0.875 0.125 0.250
Ge: 0.875 0.625 0.250
Ge: 0.375 0.125 0.750
Ge: 0.875 0.125 0.750
Sn: 0.000 0.000 0.000
Sn: 0.750 0.250 0.500
Rb: 0.500 0.500 0.000
Rb: 0.250 0.750 0.500

Summary:
Its space group is No. 141. The energy of formation from the pure elements is 0.53 eV/f.u. Its density of states at the Fermi level is 1.76 states/eV/f.u.


[20]
An optimized crystal structure of RbSn3Ge, computed with PBE.

Lattice parameters (Å, degrees): 5.983 5.983 5.983 90.00 90.00 90.00
Atoms (fractional coordinates):
Ge: 0.500 0.500 0.500
Sn: 0.000 0.500 0.000
Sn: 0.000 0.000 0.500
Sn: 0.500 0.000 0.000
Rb: 0.000 0.000 0.000

Summary:
The energy above the most stable polymorph in this dataset is 1.586 eV per atom. Its space group is No. 221. The energy of formation from the pure elements is 7.44 eV/f.u. Its density of states at the Fermi level is 6.74 states/eV/f.u.


[21]
An optimized crystal structure of Rb2Sn6Ge, computed with PBE.

Lattice parameters (Å, degrees): 6.669 7.027 7.027 60.00 90.01 90.01
Atoms (fractional coordinates):
Rb: 0.862 0.667 0.667
Rb: 0.138 0.333 0.333
Sn: 0.338 0.347 0.826
Sn: 0.338 0.826 0.826
Sn: 0.338 0.826 0.347
Sn: 0.662 0.653 0.174
Sn: 0.662 0.174 0.174
Sn: 0.662 0.174 0.653
Ge: 0.000 0.000 0.000

Summary:
Its space group is No. 164. The energy of formation from the pure elements is -0.80 eV/f.u. Its density of states at the Fermi level is 2.94 states/eV/f.u.


[22]
An optimized crystal structure of Rb3Sn2Ge, computed with PBE.

Lattice parameters (Å, degrees): 4.330 10.857 13.651 71.03 80.88 78.50
Atoms (fractional coordinates):
Rb: 0.042 0.161 0.755
Rb: 0.958 0.839 0.245
Rb: 0.661 0.699 0.979
Rb: 0.339 0.301 0.021
Rb: 0.783 0.815 0.619
Rb: 0.217 0.185 0.381
Sn: 0.860 0.484 0.796
Sn: 0.140 0.516 0.204
Sn: 0.563 0.342 0.533
Sn: 0.437 0.658 0.467
Ge: 0.419 0.490 0.672
Ge: 0.581 0.510 0.328

Summary:
Its space group is No. 12. The energy of formation from the pure elements is -0.25 eV/f.u. Its density of states at the Fermi level is 3.65 states/eV/f.u.


[23]
An optimized crystal structure of Rb2Sn2Ge, computed with PBE.

Lattice parameters (Å, degrees): 7.600 7.600 6.193 90.00 90.00 90.00
Atoms (fractional coordinates):
Ge: 0.000 0.000 0.000
Ge: 0.500 0.500 0.000
Sn: 0.362 0.862 0.000
Sn: 0.862 0.638 0.000
Sn: 0.638 0.138 0.000
Sn: 0.138 0.362 0.000
Rb: 0.178 0.678 0.500
Rb: 0.678 0.822 0.500
Rb: 0.822 0.322 0.500
Rb: 0.322 0.178 0.500

Summary:
The energy above the most stable polymorph in this dataset is 0.036 eV per atom. Its space group is No. 127. The energy of formation from the pure elements is -0.16 eV/f.u. Its density of states at the Fermi level is 1.02 states/eV/f.u.


[24]
An optimized crystal structure of Rb3SnGe, computed with PBE.

Lattice parameters (Å, degrees): 6.698 6.698 6.698 90.00 90.00 90.00
Last column: magnetic moment on the atom in μB.
Atoms (fractional coordinates):
Ge: 0.000 0.000 0.000  0.16
Sn: 0.500 0.500 0.500  0.74
Rb: 0.000 0.500 0.000  0.02
Rb: 0.000 0.000 0.500  0.02
Rb: 0.500 0.000 0.000  0.02

Summary:
The energy above the most stable polymorph in this dataset is 0.458 eV per atom. Its space group is No. 221. The energy of formation from the pure elements is 2.21 eV/f.u. Its density of states at the Fermi level is 6.52 states/eV/f.u.


[25]
An optimized crystal structure of Rb2Sn2Ge, computed with PBE.

Lattice parameters (Å, degrees): 7.688 7.348 8.166 99.12 90.00 121.54
Atoms (fractional coordinates):
Rb: 0.510 0.287 0.114
Rb: 0.222 0.713 0.386
Rb: 0.490 0.713 0.886
Rb: 0.778 0.287 0.614
Sn: 0.735 0.745 0.480
Sn: 0.990 0.255 0.020
Sn: 0.265 0.255 0.520
Sn: 0.010 0.745 0.980
Ge: 0.973 0.000 0.250
Ge: 0.027 0.000 0.750

Summary:
The energy above the most stable polymorph in this dataset is 0.000 eV per atom. Its space group is No. 15. The energy of formation from the pure elements is -0.34 eV/f.u. Its density of states at the Fermi level is 3.41 states/eV/f.u.


no.,mass density (g cm⁻³)
1,3.536
2,4.253
3,3.068
4,3.150
5,3.664
6,1.926
7,2.456
8,3.972
9,3.169
10,4.095
11,1.845
12,4.345
13,2.546
14,4.882
15,5.181
16,5.288
17,4.481
18,4.875
19,4.013
20,3.988
21,5.566
22,3.180
23,4.466
24,2.475
25,4.136